No. 1
DFT (PBE+U) results for AcCe2MoO8 after structural relaxation.

```
AcCe2MoO8
1.0
5.157 0.000 0.000
-0.041 5.164 0.000
-0.011 -0.001 7.144
Ac Ce Mo O
1 2 1 8
direct
0.000 0.000 0.000
0.495 0.494 0.259
0.505 0.506 0.741
0.000 0.000 0.500
0.180 0.183 0.698
0.189 0.194 0.289
0.291 0.712 0.500
0.332 0.677 0.000
0.668 0.323 0.000
0.709 0.288 0.500
0.811 0.806 0.711
0.820 0.817 0.302
```

Space-group type: P-1

=====

No. 2
DFT (PBE+U) results for Ac2CeMoO8 after structural relaxation.

```
Ac2CeMoO8
1.0
5.294 0.000 0.000
-0.171 5.294 0.000
-0.047 -0.058 7.177
Ac Ce Mo O
2 1 1 8
direct
0.023 0.024 0.260
0.977 0.976 0.740
0.500 0.500 0.000
0.500 0.500 0.500
0.212 0.214 0.986
0.240 0.242 0.521
0.314 0.656 0.289
0.346 0.687 0.712
0.654 0.313 0.288
0.686 0.344 0.711
0.760 0.758 0.479
0.788 0.786 0.014
```

Space-group type: P-1
D(E_F): 0.0000 states/eV/atom

=====

No. 3
DFT (PBE+U) results for AcCeMoO6 after structural relaxation.

```
AcCeMoO6
1.0
5.710 0.000 0.000
-2.855 4.945 0.000
0.000 0.000 10.315
Ac Ce Mo O
2 2 2 12
direct
0.000 0.000 0.000
0.000 0.000 0.500
0.333 0.667 0.250
0.667 0.333 0.750
0.333 0.667 0.750
0.667 0.333 0.250
0.032 0.378 0.644
0.032 0.654 0.856
0.346 0.378 0.856
0.346 0.968 0.644
0.378 0.032 0.144
0.378 0.346 0.356
0.622 0.654 0.644
0.622 0.968 0.856
0.654 0.032 0.356
0.654 0.622 0.144
0.968 0.346 0.144
0.968 0.622 0.356
```

Space-group type: P-31c

=====

| no. | VASP energy (eV per atom) | spin magnetization (μB/f.u.) |
| --- | --- | --- |
| 1 | -8.0546 | 1.000 |
| 2 | -7.8061 | 0.000 |
| 3 | -7.9476 | 1.000 |